[1]
NaOs2Au | Alexandria via LeMat-Bulk | PBE | optimized geometry; E_tot = -5.420 eV per atom; formation enthalpy at 0 K = 1.34 eV/atom; ΔE to the lowest computed polymorph = 56.2 meV/atom
1.0
1.227 -4.299 0.156
-3.026 -3.157 0.941
-1.349 -2.828 -3.193
Os Na Au
2 1 1
direct
0.750 0.750 0.750
0.250 0.250 0.250
0.000 0.000 0.000
0.500 0.500 0.500

[2]
ScCr2Cl | Alexandria via LeMat-Bulk | PBE | optimized geometry; E_tot = -6.631 eV per atom; ΔE to the lowest computed polymorph = 418.3 meV/atom
1.0
5.305 0.057 -0.040
1.718 5.020 0.040
-2.681 -3.687 2.714
Cl Cr Sc
1 2 1
direct
0.770 0.270 0.500
0.210 0.710 0.500
0.998 0.998 0.000
0.522 0.522 0.000

[3]
MgZrPb3 | Alexandria via LeMat-Bulk | PBE | optimized geometry; E_tot = -3.874 eV per atom; formation enthalpy at 0 K = 0.38 eV/atom; ΔE to the lowest computed polymorph = 0.0 meV/atom
1.0
-2.336 -4.713 2.163
5.118 -2.476 0.132
0.833 2.000 5.258
Pb Mg Zr
3 1 1
direct
0.500 0.000 0.000
0.000 0.000 0.500
0.000 0.500 0.000
0.500 0.500 0.500
0.000 0.000 0.000

[4]
Nb2VZn2 | Alexandria via LeMat-Bulk | PBE | optimized geometry; E_tot = -6.218 eV per atom; formation enthalpy at 0 K = 0.14 eV/atom
1.0
6.750 0.000 0.000
0.000 6.750 0.000
0.000 0.000 3.541
Zn V Nb
4 2 4
direct
0.374 0.874 0.000
0.874 0.626 0.000
0.126 0.374 0.000
0.626 0.126 0.000
0.000 0.000 0.000
0.500 0.500 0.000
0.676 0.824 0.500
0.176 0.676 0.500
0.824 0.324 0.500
0.324 0.176 0.500